[1]
DFT (PBE) results for a relaxed structure of NaSb3I.

Cell: 5.517 5.517 5.517 Å, 90.00 90.00 90.00°
Sites, in units of the cell vectors:
Na: 0.000 0.000 0.000
Sb: 0.000 0.000 0.500
Sb: 0.000 0.500 0.000
Sb: 0.500 0.000 0.000
I: 0.500 0.500 0.500

Calculated values
Raw formation energy   0.79 eV/atom

[2]
DFT (PBE) results for a relaxed structure of NaSbI4.

Cell: 9.004 9.004 8.006 Å, 115.97 115.97 28.43°
Sites, in units of the cell vectors:
Na: 0.000 0.000 0.000
Sb: 0.500 0.500 0.500
I: 0.116 0.116 0.763
I: 0.389 0.389 0.702
I: 0.611 0.611 0.298
I: 0.884 0.884 0.237

Calculated values
Raw formation energy   -0.63 eV/atom

[3]
DFT (PBE) results for a relaxed structure of Na2SbI.

Cell: 10.408 10.408 10.408 Å, 22.31 22.31 22.31°
Sites, in units of the cell vectors:
Na: 0.098 0.098 0.098
Na: 0.902 0.902 0.902
Sb: 0.000 0.000 0.000
I: 0.500 0.500 0.500

Calculated values
Raw formation energy   -0.43 eV/atom

[4]
DFT (PBE) results for a relaxed structure of NaSbI2.

Cell: 4.155 4.155 10.249 Å, 101.59 101.59 59.96°
Sites, in units of the cell vectors:
Na: 0.000 0.000 0.000
Sb: 0.500 0.500 0.500
I: 0.400 0.400 0.202
I: 0.600 0.600 0.798

Calculated values
Raw formation energy   -0.43 eV/atom

[5]
DFT (PBE) results for a relaxed structure of NaSbI2.

Cell: 10.450 10.450 10.450 Å, 146.33 146.33 48.36°
Sites, in units of the cell vectors:
Na: 0.000 0.000 0.000
Na: 0.750 0.250 0.500
Sb: 0.250 0.750 0.500
Sb: 0.500 0.500 0.000
I: 0.149 0.625 0.024
I: 0.375 0.399 0.524
I: 0.601 0.125 0.976
I: 0.875 0.851 0.476

Calculated values
Raw formation energy   -0.27 eV/atom

[6]
DFT (PBE) results for a relaxed structure of NaSb3I.

Cell: 5.878 5.878 5.878 Å, 90.00 90.00 90.00°
Sites, in units of the cell vectors:
Na: 0.000 0.000 0.000
Sb: 0.000 0.500 0.500
Sb: 0.500 0.000 0.500
Sb: 0.500 0.500 0.000
I: 0.500 0.500 0.500

Calculated values
Raw formation energy   0.75 eV/atom

[7]
DFT (PBE) results for a relaxed structure of NaScSbI2.

Cell: 5.813 5.813 5.662 Å, 90.00 90.00 90.00°
Sites, in units of the cell vectors:
Na: 0.000 0.000 0.000
Sc: 0.500 0.500 0.500
Sb: 0.500 0.500 0.000
I: 0.000 0.500 0.500
I: 0.500 0.000 0.500

Calculated values
Raw formation energy   -0.59 eV/atom

[8]
DFT (PBE) results for a relaxed structure of NaSb2SeI.

Cell: 5.507 5.507 6.168 Å, 90.00 90.00 90.00°
Sites, in units of the cell vectors:
Na: 0.000 0.000 0.000
Sb: 0.000 0.500 0.500
Sb: 0.500 0.000 0.500
Se: 0.500 0.500 0.500
I: 0.500 0.500 0.000

Calculated values
Raw formation energy   0.24 eV/atom

[9]
DFT (PBE) results for a relaxed structure of NaSb2SeI.

Cell: 5.613 5.613 5.296 Å, 90.00 90.00 90.00°
Sites, in units of the cell vectors:
Na: 0.000 0.000 0.000
Sb: 0.000 0.500 0.000
Sb: 0.500 0.000 0.000
Se: 0.500 0.500 0.500
I: 0.000 0.000 0.500

Calculated values
Raw formation energy   0.75 eV/atom

[10]
DFT (PBE) results for a relaxed structure of NaSiSbI2.

Cell: 5.790 5.790 5.437 Å, 90.00 90.00 90.00°
Sites, in units of the cell vectors:
Na: 0.000 0.000 0.000
Si: 0.500 0.500 0.500
Sb: 0.500 0.500 0.000
I: 0.000 0.500 0.500
I: 0.500 0.000 0.500

Calculated values
Raw formation energy   0.03 eV/atom

[11]
DFT (PBE) results for a relaxed structure of NaSiSbI2.

Cell: 5.613 5.613 5.890 Å, 90.00 90.00 90.00°
Sites, in units of the cell vectors:
Na: 0.000 0.000 0.000
Si: 0.500 0.500 0.500
Sb: 0.000 0.000 0.500
I: 0.000 0.500 0.000
I: 0.500 0.000 0.000

Calculated values
Raw formation energy   0.72 eV/atom

[12]
DFT (PBE) results for a relaxed structure of NaSnSbI2.

Cell: 5.631 5.631 5.927 Å, 90.00 90.00 90.00°
Sites, in units of the cell vectors:
Na: 0.000 0.000 0.000
Sn: 0.500 0.500 0.500
Sb: 0.000 0.000 0.500
I: 0.000 0.500 0.000
I: 0.500 0.000 0.000

Calculated values
Raw formation energy   0.23 eV/atom

[13]
DFT (PBE) results for a relaxed structure of NaSnSbI2.

Cell: 6.218 6.218 5.932 Å, 90.00 90.00 90.00°
Sites, in units of the cell vectors:
Na: 0.000 0.000 0.000
Sn: 0.500 0.500 0.500
Sb: 0.500 0.500 0.000
I: 0.000 0.500 0.500
I: 0.500 0.000 0.500

Calculated values
Raw formation energy   -0.12 eV/atom

[14]
DFT (PBE) results for a relaxed structure of NaSrSb2I.

Cell: 5.459 5.459 6.047 Å, 90.00 90.00 90.00°
Sites, in units of the cell vectors:
Na: 0.000 0.000 0.000
Sr: 0.500 0.500 0.500
Sb: 0.000 0.500 0.000
Sb: 0.500 0.000 0.000
I: 0.000 0.000 0.500

Calculated values
Raw formation energy   -0.12 eV/atom

[15]
DFT (PBE) results for a relaxed structure of NaSrSb2I.

Cell: 6.301 6.301 6.394 Å, 90.00 90.00 90.00°
Sites, in units of the cell vectors:
Na: 0.000 0.000 0.000
Sr: 0.500 0.500 0.500
Sb: 0.000 0.500 0.500
Sb: 0.500 0.000 0.500
I: 0.500 0.500 0.000

Calculated values
Raw formation energy   -0.01 eV/atom

[16]
DFT (PBE) results for a relaxed structure of NaTaSbI2.

Cell: 5.738 5.738 5.393 Å, 90.00 90.00 90.00°
Sites, in units of the cell vectors:
Na: 0.000 0.000 0.000
Ta: 0.500 0.500 0.500
Sb: 0.500 0.500 0.000
I: 0.000 0.500 0.500
I: 0.500 0.000 0.500

Calculated values
Raw formation energy   0.05 eV/atom

[17]
DFT (PBE) results for a relaxed structure of NaTaSb2I.

Cell: 5.335 5.335 6.065 Å, 90.00 90.00 90.00°
Sites, in units of the cell vectors:
Na: 0.000 0.000 0.000
Ta: 0.500 0.500 0.500
Sb: 0.000 0.500 0.500
Sb: 0.500 0.000 0.500
I: 0.500 0.500 0.000

Calculated values
Raw formation energy   0.09 eV/atom

[18]
DFT (PBE) results for a relaxed structure of NaTcSbI2.

Cell: 5.630 5.630 5.989 Å, 90.00 90.00 90.00°
Sites, in units of the cell vectors:
Na: 0.000 0.000 0.000
Tc: 0.500 0.500 0.500
Sb: 0.000 0.000 0.500
I: 0.000 0.500 0.000
I: 0.500 0.000 0.000

Calculated values
Raw formation energy   1.04 eV/atom

[19]
DFT (PBE) results for a relaxed structure of NaTcSbI2.

Cell: 5.823 5.823 5.080 Å, 90.00 90.00 90.00°
Sites, in units of the cell vectors:
Na: 0.000 0.000 0.000
Tc: 0.500 0.500 0.500
Sb: 0.500 0.500 0.000
I: 0.000 0.500 0.500
I: 0.500 0.000 0.500

Calculated values
Raw formation energy   0.10 eV/atom

[20]
DFT (PBE) results for a relaxed structure of NaTl2SbI6.

Cell: 8.642 8.642 8.642 Å, 59.05 59.05 59.05°
Sites, in units of the cell vectors:
Na: 0.000 0.000 0.000
Tl: 0.287 0.287 0.287
Tl: 0.795 0.795 0.795
Sb: 0.494 0.494 0.494
I: 0.148 0.715 0.359
I: 0.248 0.638 0.835
I: 0.359 0.148 0.715
I: 0.638 0.835 0.248
I: 0.715 0.359 0.148
I: 0.835 0.248 0.638

Calculated values
Raw formation energy   -0.63 eV/atom